Record 1
VASP calculation (PBE) on crystalline KMnAl2 at its relaxed geometry.

Cell and atoms, written as POSCAR:
```
KMnAl2
1.0
-2.246 -0.978 1.980
0.267 -2.924 -1.142
5.921 -1.745 5.852
K Mn Al
1 1 2
Cartesian
0.491 -2.387 1.882 K
3.451 -3.260 4.809 Mn
5.423 -1.599 5.360 Al
3.459 -1.020 3.418 Al
```

Output
* ΔH_f (0 K): 0.171 eV per atom
* electronic total energy: -4.267 eV/atom
* space-group type: No. 123

Record 2
VASP calculation (PBE) on crystalline KMnAl2 at its relaxed geometry.

Cell and atoms, written as POSCAR:
```
KMnAl2
1.0
6.342 -0.148 0.034
3.334 5.397 -0.034
-3.955 -4.252 2.554
K Mn Al
1 1 2
Cartesian
4.822 2.616 0.000 K
1.673 1.649 1.260 Mn
0.073 0.040 0.000 Al
3.990 -0.683 1.294 Al
```

Output
* ΔH_f (0 K): 0.529 eV per atom
* electronic total energy: -3.909 eV/atom
* space-group type: No. 44

Record 3
VASP calculation (PBE) on crystalline K2MnAl at its relaxed geometry.

Cell and atoms, written as POSCAR:
```
K2MnAl
1.0
6.618 -0.011 0.000
3.379 5.691 0.000
-4.999 -2.840 3.279
K Mn Al
2 1 1
Cartesian
0.000 0.000 0.000 K
4.999 2.840 0.000 K
1.690 2.845 1.639 Mn
3.309 -0.005 1.639 Al
```

Output
* ΔH_f (0 K): 0.776 eV per atom
* electronic total energy: -3.001 eV/atom
* space-group type: No. 139

Record 4
VASP calculation (PBE) on crystalline KMn2Al at its relaxed geometry.

Cell and atoms, written as POSCAR:
```
KMn2Al
1.0
-2.261 0.944 -3.925
-4.232 0.619 -1.765
-0.051 7.168 1.034
K Mn Al
1 2 1
Cartesian
-4.908 6.548 -3.492 K
-6.362 2.298 -5.460 Mn
-3.403 3.631 -2.558 Mn
-1.636 2.183 -1.164 Al
```

Output
* ΔH_f (0 K): 0.546 eV per atom
* electronic total energy: -5.248 eV/atom
* space-group type: No. 12

Computed values of calculated volume (unit: Å³ per atom) for the preceding records, in sequence: 21.102 21.992 30.901 23.280.